Entry 1:
PrDyNbN3 | PBE | optimized geometry

Unit cell a=6.680 b=3.381 c=9.501 alpha=90.00 beta=95.53 gamma=90.00
Sites, in units of the cell vectors:
Pr: 0.200 0.250 0.241
Pr: 0.800 0.750 0.759
Dy: 0.340 0.750 0.886
Dy: 0.660 0.250 0.114
Nb: 0.137 0.250 0.580
Nb: 0.863 0.750 0.420
N: 0.114 0.250 0.790
N: 0.194 0.750 0.463
N: 0.402 0.750 0.124
N: 0.598 0.250 0.876
N: 0.806 0.250 0.537
N: 0.886 0.750 0.210

## Properties
For the calculated total energy, the calculation gives -8.4670 eV/atom. Its uncorrected formation energy is -1062 meV per atom. The calculation puts the density of states at the Fermi level at 6.42 states/eV/cell.


Entry 2:
DyPuNbN3 | PBE | optimized geometry

Unit cell a=5.781 b=3.213 c=9.089 alpha=90.00 beta=104.56 gamma=90.00
Sites, in units of the cell vectors:
Dy: 0.021 0.250 0.306
Dy: 0.979 0.750 0.694
Pu: 0.405 0.250 0.065
Pu: 0.595 0.750 0.935
Nb: 0.450 0.250 0.623
Nb: 0.550 0.750 0.377
N: 0.233 0.750 0.175
N: 0.246 0.750 0.501
N: 0.278 0.250 0.793
N: 0.722 0.750 0.207
N: 0.754 0.250 0.499
N: 0.767 0.250 0.825

## Properties
For the calculated total energy, the calculation gives -10.1011 eV/atom. Its uncorrected formation energy is -1104 meV per atom. The calculation puts the density of states at the Fermi level at 8.84 states/eV/cell.


Entry 3:
Dy2NbSbN5 | PBE | optimized geometry

Unit cell a=6.980 b=6.980 c=10.569 alpha=90.00 beta=90.00 gamma=152.64
Sites, in units of the cell vectors:
Dy: 0.112 0.888 0.500
Dy: 0.148 0.852 0.071
Dy: 0.852 0.148 0.571
Dy: 0.888 0.112 0.000
Nb: 0.232 0.768 0.808
Nb: 0.768 0.232 0.308
Sb: 0.474 0.526 0.259
Sb: 0.526 0.474 0.759
N: 0.060 0.940 0.861
N: 0.279 0.721 0.443
N: 0.312 0.688 0.173
N: 0.376 0.624 0.814
N: 0.490 0.510 0.575
N: 0.510 0.490 0.075
N: 0.624 0.376 0.314
N: 0.688 0.312 0.673
N: 0.721 0.279 0.943
N: 0.940 0.060 0.361

## Properties
For the calculated total energy, the calculation gives -7.9964 eV/atom. Its uncorrected formation energy is -772 meV per atom. The calculation puts the density of states at the Fermi level at 3.54 states/eV/cell.


Entry 4:
Sm2DyNbN4 | PBE | optimized geometry

Unit cell a=5.907 b=3.405 c=5.947 alpha=90.00 beta=109.01 gamma=90.00
Sites, in units of the cell vectors:
Sm: 0.000 0.000 0.000
Sm: 0.500 0.500 0.000
Dy: 0.000 0.500 0.500
Nb: 0.500 0.000 0.500
N: 0.261 0.000 0.727
N: 0.271 0.500 0.277
N: 0.729 0.500 0.723
N: 0.739 0.000 0.273

## Properties
For the calculated total energy, the calculation gives -8.5720 eV/atom. Its uncorrected formation energy is -1396 meV per atom. The calculation puts the density of states at the Fermi level at 2.08 states/eV/cell.


Entry 5:
SmDy2NbN4 | PBE | optimized geometry

Unit cell a=6.187 b=6.187 c=12.125 alpha=90.00 beta=90.00 gamma=148.10
Sites, in units of the cell vectors:
Sm: 0.104 0.896 0.750
Sm: 0.896 0.104 0.250
Dy: 0.370 0.630 0.534
Dy: 0.370 0.630 0.966
Dy: 0.630 0.370 0.034
Dy: 0.630 0.370 0.466
Nb: 0.157 0.843 0.250
Nb: 0.843 0.157 0.750
N: 0.000 0.000 0.000
N: 0.000 0.000 0.500
N: 0.260 0.740 0.123
N: 0.260 0.740 0.377
N: 0.453 0.547 0.750
N: 0.547 0.453 0.250
N: 0.740 0.260 0.623
N: 0.740 0.260 0.877

## Properties
For the calculated total energy, the calculation gives -8.4164 eV/atom. Its uncorrected formation energy is -1255 meV per atom. The calculation puts the density of states at the Fermi level at 4.33 states/eV/cell.


Entry 6:
Dy2NbSnN5 | PBE | optimized geometry

Unit cell a=7.131 b=7.131 c=10.390 alpha=90.00 beta=90.00 gamma=153.32
Sites, in units of the cell vectors:
Dy: 0.116 0.884 0.500
Dy: 0.133 0.867 0.070
Dy: 0.867 0.133 0.570
Dy: 0.884 0.116 0.000
Nb: 0.228 0.772 0.800
Nb: 0.772 0.228 0.300
Sn: 0.479 0.521 0.266
Sn: 0.521 0.479 0.766
N: 0.066 0.934 0.859
N: 0.280 0.720 0.440
N: 0.300 0.700 0.168
N: 0.369 0.631 0.805
N: 0.498 0.502 0.571
N: 0.502 0.498 0.071
N: 0.631 0.369 0.305
N: 0.700 0.300 0.668
N: 0.720 0.280 0.940
N: 0.934 0.066 0.359

## Properties
For the calculated total energy, the calculation gives -8.0877 eV/atom. Its uncorrected formation energy is -876 meV per atom. The calculation puts the density of states at the Fermi level at 0.07 states/eV/cell.


- What is the calculated total energy in the first record?
  -8.4670 eV/atom


- Which formula does entry 2 have?
  DyPuNbN3


Copy entry 5 word for word.
SmDy2NbN4 | PBE | optimized geometry

Unit cell a=6.187 b=6.187 c=12.125 alpha=90.00 beta=90.00 gamma=148.10
Sites, in units of the cell vectors:
Sm: 0.104 0.896 0.750
Sm: 0.896 0.104 0.250
Dy: 0.370 0.630 0.534
Dy: 0.370 0.630 0.966
Dy: 0.630 0.370 0.034
Dy: 0.630 0.370 0.466
Nb: 0.157 0.843 0.250
Nb: 0.843 0.157 0.750
N: 0.000 0.000 0.000
N: 0.000 0.000 0.500
N: 0.260 0.740 0.123
N: 0.260 0.740 0.377
N: 0.453 0.547 0.750
N: 0.547 0.453 0.250
N: 0.740 0.260 0.623
N: 0.740 0.260 0.877

## Properties
For the calculated total energy, the calculation gives -8.4164 eV/atom. Its uncorrected formation energy is -1255 meV per atom. The calculation puts the density of states at the Fermi level at 4.33 states/eV/cell.


Please write out number 3 again, unchanged.
Dy2NbSbN5 | PBE | optimized geometry

Unit cell a=6.980 b=6.980 c=10.569 alpha=90.00 beta=90.00 gamma=152.64
Sites, in units of the cell vectors:
Dy: 0.112 0.888 0.500
Dy: 0.148 0.852 0.071
Dy: 0.852 0.148 0.571
Dy: 0.888 0.112 0.000
Nb: 0.232 0.768 0.808
Nb: 0.768 0.232 0.308
Sb: 0.474 0.526 0.259
Sb: 0.526 0.474 0.759
N: 0.060 0.940 0.861
N: 0.279 0.721 0.443
N: 0.312 0.688 0.173
N: 0.376 0.624 0.814
N: 0.490 0.510 0.575
N: 0.510 0.490 0.075
N: 0.624 0.376 0.314
N: 0.688 0.312 0.673
N: 0.721 0.279 0.943
N: 0.940 0.060 0.361

## Properties
For the calculated total energy, the calculation gives -7.9964 eV/atom. Its uncorrected formation energy is -772 meV per atom. The calculation puts the density of states at the Fermi level at 3.54 states/eV/cell.